# 1
Material: Nd5Er2Tm6
Method: DFT, PBE
State: optimized geometry

Values from the calculation:
As for the total energy: -117.06 eV/cell. Its mass density is 8.12 Mg/m³.

The structure in CIF format:
```
data_Nd5Er2Tm6
_chemical_formula_sum 'Nd10 Er4 Tm12'
_cell_length_a 3.577
_cell_length_b 11.577
_cell_length_c 20.438
_cell_angle_alpha 90.00
_cell_angle_beta 90.00
_cell_angle_gamma 90.00
_symmetry_space_group_name_H-M 'P 1'
_symmetry_Int_Tables_number 1
_symmetry_space_group_name_Hall 'P 1'
loop_
_atom_site_label
_atom_site_type_symbol
_atom_site_fract_x
_atom_site_fract_y
_atom_site_fract_z
_atom_site_occupancy
Nd1 Nd 0.500 0.302 0.450 1
Nd2 Nd 0.500 0.698 0.550 1
Nd3 Nd 0.500 0.802 0.050 1
Nd4 Nd 0.500 0.198 0.950 1
Nd5 Nd 0.500 0.583 0.272 1
Nd6 Nd 0.500 0.417 0.728 1
Nd7 Nd 0.500 0.083 0.228 1
Nd8 Nd 0.500 0.917 0.772 1
Nd9 Nd 0.500 0.500 0.000 1
Nd10 Nd 0.500 0.000 0.500 1
Er1 Er 0.000 0.329 0.290 1
Er2 Er 0.000 0.671 0.710 1
Er3 Er 0.000 0.829 0.210 1
Er4 Er 0.000 0.171 0.790 1
Tm1 Tm 0.000 0.080 0.369 1
Tm2 Tm 0.000 0.920 0.631 1
Tm3 Tm 0.000 0.580 0.131 1
Tm4 Tm 0.000 0.420 0.869 1
Tm5 Tm 0.500 0.325 0.139 1
Tm6 Tm 0.500 0.675 0.861 1
Tm7 Tm 0.500 0.825 0.361 1
Tm8 Tm 0.500 0.175 0.639 1
Tm9 Tm 0.000 0.562 0.418 1
Tm10 Tm 0.000 0.438 0.582 1
Tm11 Tm 0.000 0.062 0.082 1
Tm12 Tm 0.000 0.938 0.918 1
```


# 2
Material: CsCoHg2W
Method: DFT, PBE
State: optimized geometry

Values from the calculation:
As for the total energy: -9.20 eV/cell. Its mass density is 4.57 Mg/m³.

The structure in CIF format:
```
data_CsCoHg2W
_chemical_formula_sum 'Cs1 Co1 Hg2 W1'
_cell_length_a 6.726
_cell_length_b 6.235
_cell_length_c 6.726
_cell_angle_alpha 90.00
_cell_angle_beta 90.00
_cell_angle_gamma 90.00
_symmetry_space_group_name_H-M 'P 1'
_symmetry_Int_Tables_number 1
_symmetry_space_group_name_Hall 'P 1'
loop_
_atom_site_label
_atom_site_type_symbol
_atom_site_fract_x
_atom_site_fract_y
_atom_site_fract_z
_atom_site_occupancy
Cs1 Cs 0.000 0.000 0.000 1
Co1 Co 0.500 0.500 0.500 1
Hg1 Hg 0.000 0.000 0.500 1
Hg2 Hg 0.500 0.000 0.000 1
W1 W 0.000 0.500 0.000 1
```


# 3
Material: CaAgTe2
Method: DFT, PBE
State: optimized geometry

Values from the calculation:
As for the total energy: -12.34 eV/cell. Its mass density is 6.11 Mg/m³. The calculation puts the formation energy from raw total energies at -0.30 eV/atom.

The structure in CIF format:
```
data_CaAgTe2
_chemical_formula_sum 'Ca1 Ag1 Te2'
_cell_length_a 5.371
_cell_length_b 5.371
_cell_length_c 5.371
_cell_angle_alpha 60.00
_cell_angle_beta 60.00
_cell_angle_gamma 60.00
_symmetry_space_group_name_H-M 'P 1'
_symmetry_Int_Tables_number 1
_symmetry_space_group_name_Hall 'P 1'
loop_
_atom_site_label
_atom_site_type_symbol
_atom_site_fract_x
_atom_site_fract_y
_atom_site_fract_z
_atom_site_occupancy
Ca1 Ca 0.750 0.750 0.750 1
Te1 Te 0.000 0.000 0.000 1
Te2 Te 0.250 0.250 0.250 1
Ag1 Ag 0.500 0.500 0.500 1
```


# 4
Material: CePuTcPd
Method: DFT, PBE
State: optimized geometry

Values from the calculation:
As for the total energy: -36.57 eV/cell. Its mass density is 11.71 Mg/m³.

The structure in CIF format:
```
data_CePuTcPd
_chemical_formula_sum 'Ce1 Pu1 Tc1 Pd1'
_cell_length_a 4.905
_cell_length_b 4.905
_cell_length_c 4.905
_cell_angle_alpha 60.00
_cell_angle_beta 60.00
_cell_angle_gamma 60.00
_symmetry_space_group_name_H-M 'P 1'
_symmetry_Int_Tables_number 1
_symmetry_space_group_name_Hall 'P 1'
loop_
_atom_site_label
_atom_site_type_symbol
_atom_site_fract_x
_atom_site_fract_y
_atom_site_fract_z
_atom_site_occupancy
Tc1 Tc 0.000 0.000 0.000 1
Pd1 Pd 0.500 0.500 0.500 1
Ce1 Ce 0.750 0.750 0.750 1
Pu1 Pu 0.250 0.250 0.250 1
```


# 5
Material: Na2BiPb
Method: DFT, PBE
State: optimized geometry

Values from the calculation:
As for the total energy: -43.53 eV/cell. Its mass density is 6.15 Mg/m³.

The structure in CIF format:
```
data_Na2BiPb
_chemical_formula_sum 'Na8 Bi4 Pb4'
_cell_length_a 6.998
_cell_length_b 11.475
_cell_length_c 8.054
_cell_angle_alpha 129.47
_cell_angle_beta 90.00
_cell_angle_gamma 90.00
_symmetry_space_group_name_H-M 'P 1'
_symmetry_Int_Tables_number 1
_symmetry_space_group_name_Hall 'P 1'
loop_
_atom_site_label
_atom_site_type_symbol
_atom_site_fract_x
_atom_site_fract_y
_atom_site_fract_z
_atom_site_occupancy
Na1 Na 0.744 0.014 0.022 1
Na2 Na 0.244 0.486 0.978 1
Na3 Na 0.256 0.986 0.978 1
Na4 Na 0.756 0.514 0.022 1
Na5 Na 0.890 0.640 0.743 1
Na6 Na 0.390 0.860 0.257 1
Na7 Na 0.110 0.360 0.257 1
Na8 Na 0.610 0.140 0.743 1
Bi1 Bi 0.366 0.234 0.486 1
Bi2 Bi 0.866 0.266 0.514 1
Bi3 Bi 0.634 0.766 0.514 1
Bi4 Bi 0.134 0.734 0.486 1
Pb1 Pb 0.610 0.389 0.288 1
Pb2 Pb 0.110 0.111 0.712 1
Pb3 Pb 0.390 0.611 0.712 1
Pb4 Pb 0.890 0.889 0.288 1
```


# 6
Material: Pa2CoRh
Method: DFT, PBE
State: optimized geometry

Values from the calculation:
As for the total energy: -35.44 eV/cell. Its mass density is 12.49 Mg/m³.

The structure in CIF format:
```
data_Pa2CoRh
_chemical_formula_sum 'Pa2 Co1 Rh1'
_cell_length_a 3.937
_cell_length_b 3.937
_cell_length_c 6.585
_cell_angle_alpha 72.61
_cell_angle_beta 72.61
_cell_angle_gamma 60.00
_symmetry_space_group_name_H-M 'P 1'
_symmetry_Int_Tables_number 1
_symmetry_space_group_name_Hall 'P 1'
loop_
_atom_site_label
_atom_site_type_symbol
_atom_site_fract_x
_atom_site_fract_y
_atom_site_fract_z
_atom_site_occupancy
Co1 Co 0.000 0.000 0.000 1
Pa1 Pa 0.256 0.256 0.231 1
Pa2 Pa 0.744 0.744 0.769 1
Rh1 Rh 0.500 0.500 0.500 1
```


# 7
Material: MgTiN
Method: DFT, PBE
State: optimized geometry

Values from the calculation:
As for the total energy: -40.71 eV/cell. Its mass density is 3.51 Mg/m³. The calculation puts the formation energy from raw total energies at -0.85 eV/atom.

The structure in CIF format:
```
data_MgTiN
_chemical_formula_sum 'Mg2 Ti2 N2'
_cell_length_a 5.260
_cell_length_b 2.938
_cell_length_c 5.272
_cell_angle_alpha 90.00
_cell_angle_beta 90.00
_cell_angle_gamma 90.00
_symmetry_space_group_name_H-M 'P 1'
_symmetry_Int_Tables_number 1
_symmetry_space_group_name_Hall 'P 1'
loop_
_atom_site_label
_atom_site_type_symbol
_atom_site_fract_x
_atom_site_fract_y
_atom_site_fract_z
_atom_site_occupancy
Mg1 Mg 0.250 0.000 0.147 1
Mg2 Mg 0.750 0.000 0.853 1
N1 N 0.000 0.000 0.500 1
N2 N 0.500 0.000 0.500 1
Ti1 Ti 0.250 0.500 0.626 1
Ti2 Ti 0.750 0.500 0.374 1
```


# 8
Material: PmGd2Te
Method: DFT, PBE
State: optimized geometry

Values from the calculation:
As for the total energy: -38.44 eV/cell. Its mass density is 7.95 Mg/m³. The calculation puts the formation energy from raw total energies at -0.60 eV/atom.

The structure in CIF format:
```
data_PmGd2Te
_chemical_formula_sum 'Pm1 Gd2 Te1'
_cell_length_a 3.932
_cell_length_b 3.932
_cell_length_c 7.932
_cell_angle_alpha 90.00
_cell_angle_beta 90.00
_cell_angle_gamma 90.00
_symmetry_space_group_name_H-M 'P 1'
_symmetry_Int_Tables_number 1
_symmetry_space_group_name_Hall 'P 1'
loop_
_atom_site_label
_atom_site_type_symbol
_atom_site_fract_x
_atom_site_fract_y
_atom_site_fract_z
_atom_site_occupancy
Gd1 Gd 0.000 0.000 0.718 1
Gd2 Gd 0.000 0.000 0.282 1
Te1 Te 0.500 0.500 0.500 1
Pm1 Pm 0.500 0.500 0.000 1
```


# 9
Material: CaSb2O4
Method: DFT, PBE
State: optimized geometry

Values from the calculation:
As for the total energy: -255.75 eV/cell. Its mass density is 4.41 Mg/m³. The calculation puts the formation energy from raw total energies at -1.79 eV/atom.

The structure in CIF format:
```
data_CaSb2O4
_chemical_formula_sum 'Ca6 Sb12 O24'
_cell_length_a 6.515
_cell_length_b 7.196
_cell_length_c 18.440
_cell_angle_alpha 91.74
_cell_angle_beta 88.90
_cell_angle_gamma 114.78
_symmetry_space_group_name_H-M 'P 1'
_symmetry_Int_Tables_number 1
_symmetry_space_group_name_Hall 'P 1'
loop_
_atom_site_label
_atom_site_type_symbol
_atom_site_fract_x
_atom_site_fract_y
_atom_site_fract_z
_atom_site_occupancy
Ca1 Ca 0.847 0.137 0.026 1
Ca2 Ca 0.244 0.725 0.338 1
Ca3 Ca 0.333 0.124 0.173 1
Ca4 Ca 0.901 0.251 0.677 1
Ca5 Ca 0.049 0.472 0.504 1
Ca6 Ca 0.721 0.949 0.834 1
Sb1 Sb 0.857 0.685 0.146 1
Sb2 Sb 0.452 0.344 0.360 1
Sb3 Sb 0.417 0.346 0.011 1
Sb4 Sb 0.326 0.620 0.169 1
Sb5 Sb 0.476 0.011 0.557 1
Sb6 Sb 0.242 0.963 0.732 1
Sb7 Sb 0.945 0.939 0.436 1
Sb8 Sb 0.237 0.506 0.836 1
Sb9 Sb 0.802 0.081 0.276 1
Sb10 Sb 0.684 0.399 0.844 1
Sb11 Sb 0.519 0.594 0.649 1
Sb12 Sb 0.072 0.788 0.968 1
O1 O 0.568 0.223 0.071 1
O2 O 0.400 0.381 0.258 1
O3 O 0.193 0.342 0.091 1
O4 O 0.823 0.814 0.052 1
O5 O 0.262 0.464 0.407 1
O6 O 0.067 0.557 0.233 1
O7 O 0.288 0.081 0.629 1
O8 O 0.488 0.941 0.241 1
O9 O 0.969 0.681 0.434 1
O10 O 0.188 0.787 0.115 1
O11 O 0.206 0.046 0.366 1
O12 O 0.944 0.950 0.206 1
O13 O 0.061 0.116 0.761 1
O14 O 0.625 0.896 0.628 1
O15 O 0.213 0.509 0.615 1
O16 O 0.567 0.146 0.762 1
O17 O 0.797 0.247 0.909 1
O18 O 0.709 0.877 0.359 1
O19 O 0.963 0.488 0.779 1
O20 O 0.741 0.267 0.563 1
O21 O 0.169 0.095 0.964 1
O22 O 0.837 0.725 0.892 1
O23 O 0.473 0.643 0.755 1
O24 O 0.327 0.790 0.876 1
```